Density functional theory data (PBE) for a geometry-optimized TeRuRh2 structure.

Results
ρ = 11.40 g/cm³
DFT total energy = -6.610 eV per atom
Formation energy (no corrections) = 171 meV/atom

The structure in CIF format:
```
data_TeRuRh2
_chemical_formula_sum 'Te2 Ru2 Rh4'
_cell_length_a 3.770
_cell_length_b 4.132
_cell_length_c 8.124
_cell_angle_alpha 90.00
_cell_angle_beta 90.00
_cell_angle_gamma 90.00
_symmetry_space_group_name_H-M 'I m m m'
_symmetry_Int_Tables_number 71
_symmetry_space_group_name_Hall '-I 2 2'
loop_
_atom_site_label
_atom_site_type_symbol
_atom_site_fract_x
_atom_site_fract_y
_atom_site_fract_z
Te1 Te 0.000 0.000 0.000
Ru1 Ru 0.000 0.000 0.500
Rh1 Rh 0.000 0.500 0.266
```